The following is a DFT calculation (PBE-GGA) of a geometry-optimized LuPuMg structure.

Lattice parameters (Å, degrees): 3.302 3.302 14.702 90.00 90.00 90.00
Space group I4mm (No. 107)
Unique sites:
Lu1 0.000 0.000 0.000 [2 per cell]
Pu1 0.000 0.000 0.329 [2 per cell]
Mg1 0.000 0.000 0.663 [2 per cell]

Raw total energy, eV for the cell shown: -40.25
Total magnetization, μB/f.u.: 6.1

---

The following is a DFT calculation (PBE-GGA) of a geometry-optimized LuPuMg2 structure.

Lattice parameters (Å, degrees): 7.498 7.498 7.498 90.00 90.00 90.00
Space group Fm-3m (No. 225)
Unique sites:
Lu1 0.000 0.000 0.000 [4 per cell]
Pu1 0.000 0.000 0.500 [4 per cell]
Mg1 0.250 0.250 0.250 [8 per cell]

Raw total energy, eV for the cell shown: -86.42
Total magnetization, μB/f.u.: 6.5

---

The following is a DFT calculation (PBE-GGA) of a geometry-optimized LuPuMg2 structure.

Lattice parameters (Å, degrees): 4.630 4.630 4.886 90.00 90.00 90.00
Space group P4/mmm (No. 123)
Unique sites:
Lu1 0.000 0.000 0.000 [1 per cell]
Pu1 0.500 0.500 0.000 [1 per cell]
Mg1 0.000 0.500 0.500 [2 per cell]

Raw total energy, eV for the cell shown: -21.43
Total magnetization, μB/f.u.: 6.3

---

The following is a DFT calculation (PBE-GGA) of a geometry-optimized LuPuMgSc structure.

Lattice parameters (Å, degrees): 7.485 7.485 7.485 90.00 90.00 90.00
Space group F-43m (No. 216)
Unique sites:
Lu1 0.000 0.000 0.000 [4 per cell]
Pu1 0.000 0.000 0.500 [4 per cell]
Mg1 0.250 0.250 0.750 [4 per cell]
Sc1 0.250 0.250 0.250 [4 per cell]

Raw total energy, eV for the cell shown: -104.86
Total magnetization, μB/f.u.: 6.2

---

The following is a DFT calculation (PBE-GGA) of a geometry-optimized SmLuPuMg structure.

Lattice parameters (Å, degrees): 7.708 7.708 7.708 90.00 90.00 90.00
Space group F-43m (No. 216)
Unique sites:
Sm1 0.000 0.000 0.000 [4 per cell]
Lu1 0.000 0.000 0.500 [4 per cell]
Pu1 0.250 0.250 0.250 [4 per cell]
Mg1 0.250 0.250 0.750 [4 per cell]

Raw total energy, eV for the cell shown: -98.15
Total magnetization, μB/f.u.: 6.3

---

The following is a DFT calculation (PBE-GGA) of a geometry-optimized LuPuMgZn structure.

Lattice parameters (Å, degrees): 7.259 7.259 7.259 90.00 90.00 90.00
Space group F-43m (No. 216)
Unique sites:
Lu1 0.000 0.000 0.000 [4 per cell]
Pu1 0.000 0.000 0.500 [4 per cell]
Mg1 0.250 0.250 0.250 [4 per cell]
Zn1 0.250 0.250 0.750 [4 per cell]

Raw total energy, eV for the cell shown: -86.89
Total magnetization, μB/f.u.: 6.2

---

The following is a DFT calculation (PBE-GGA) of a geometry-optimized LuMgScRe structure.

Lattice parameters (Å, degrees): 6.841 6.841 6.841 90.00 90.00 90.00
Space group F-43m (No. 216)
Unique sites:
Lu1 0.000 0.000 0.000 [4 per cell]
Mg1 0.250 0.250 0.250 [4 per cell]
Sc1 0.000 0.000 0.500 [4 per cell]
Re1 0.250 0.250 0.750 [4 per cell]

Raw total energy, eV for the cell shown: -99.43
Total magnetization, μB/f.u.: 0.0

---

The following is a DFT calculation (PBE-GGA) of a geometry-optimized LuThMgRe structure.

Lattice parameters (Å, degrees): 7.172 7.172 7.172 90.00 90.00 90.00
Space group F-43m (No. 216)
Unique sites:
Lu1 0.000 0.000 0.000 [4 per cell]
Th1 0.000 0.000 0.500 [4 per cell]
Mg1 0.250 0.250 0.750 [4 per cell]
Re1 0.250 0.250 0.250 [4 per cell]

Raw total energy, eV for the cell shown: -102.94
Total magnetization, μB/f.u.: 0.0

---

The following is a DFT calculation (PBE-GGA) of a geometry-optimized Lu2MgRh structure.

Lattice parameters (Å, degrees): 3.452 3.452 7.567 90.00 90.00 90.00
Space group P4/mmm (No. 123)
Unique sites:
Lu1 0.000 0.000 0.210 [2 per cell]
Mg1 0.500 0.500 0.500 [1 per cell]
Rh1 0.500 0.500 0.000 [1 per cell]

Raw total energy, eV for the cell shown: -20.20
Total magnetization, μB/f.u.: 0.0

---

The following is a DFT calculation (PBE-GGA) of a geometry-optimized LuMgRh2 structure.

Lattice parameters (Å, degrees): 6.478 6.478 6.478 90.00 90.00 90.00
Space group Fm-3m (No. 225)
Unique sites:
Lu1 0.000 0.000 0.000 [4 per cell]
Mg1 0.000 0.000 0.500 [4 per cell]
Rh1 0.250 0.250 0.250 [8 per cell]

Raw total energy, eV for the cell shown: -96.19
Total magnetization, μB/f.u.: 0.0

---

The following is a DFT calculation (PBE-GGA) of a geometry-optimized Lu2MgRh structure.

Lattice parameters (Å, degrees): 6.993 6.993 6.993 90.00 90.00 90.00
Space group Fm-3m (No. 225)
Unique sites:
Lu1 0.250 0.250 0.250 [8 per cell]
Mg1 0.000 0.000 0.000 [4 per cell]
Rh1 0.000 0.000 0.500 [4 per cell]

Raw total energy, eV for the cell shown: -79.33
Total magnetization, μB/f.u.: 0.0

---

The following is a DFT calculation (PBE-GGA) of a geometry-optimized SmLuMgRh structure.

Lattice parameters (Å, degrees): 7.147 7.147 7.147 90.00 90.00 90.00
Space group F-43m (No. 216)
Unique sites:
Sm1 0.000 0.000 0.000 [4 per cell]
Lu1 0.000 0.000 0.500 [4 per cell]
Mg1 0.250 0.250 0.250 [4 per cell]
Rh1 0.250 0.250 0.750 [4 per cell]

Raw total energy, eV for the cell shown: -79.10
Total magnetization, μB/f.u.: 0.0

---

The following is a DFT calculation (PBE-GGA) of a geometry-optimized LuMgTlRh structure.

Lattice parameters (Å, degrees): 6.885 6.885 6.885 90.00 90.00 90.00
Space group F-43m (No. 216)
Unique sites:
Lu1 0.000 0.000 0.000 [4 per cell]
Mg1 0.000 0.000 0.500 [4 per cell]
Tl1 0.250 0.250 0.750 [4 per cell]
Rh1 0.250 0.250 0.250 [4 per cell]

Raw total energy, eV for the cell shown: -69.19
Total magnetization, μB/f.u.: 0.0

---

The following is a DFT calculation (PBE-GGA) of a geometry-optimized YLuMgRh structure.

Lattice parameters (Å, degrees): 7.081 7.081 7.081 90.00 90.00 90.00
Space group F-43m (No. 216)
Unique sites:
Y1 0.000 0.000 0.000 [4 per cell]
Lu1 0.000 0.000 0.500 [4 per cell]
Mg1 0.250 0.250 0.250 [4 per cell]
Rh1 0.250 0.250 0.750 [4 per cell]

Raw total energy, eV for the cell shown: -86.71
Total magnetization, μB/f.u.: 0.0

---

The following is a DFT calculation (PBE-GGA) of a geometry-optimized LuMgRu2 structure.

Lattice parameters (Å, degrees): 4.515 4.515 3.341 90.00 90.00 90.00
Space group P4/mmm (No. 123)
Unique sites:
Lu1 0.000 0.000 0.000 [1 per cell]
Mg1 0.500 0.500 0.000 [1 per cell]
Ru1 0.000 0.500 0.500 [2 per cell]

Raw total energy, eV for the cell shown: -25.12
Total magnetization, μB/f.u.: 0.4

---

The following is a DFT calculation (PBE-GGA) of a geometry-optimized LuMgRu2 structure.

Lattice parameters (Å, degrees): 3.315 3.315 6.223 90.00 90.00 90.00
Space group P4/mmm (No. 123)
Unique sites:
Lu1 0.000 0.000 0.000 [1 per cell]
Mg1 0.000 0.000 0.500 [1 per cell]
Ru1 0.500 0.500 0.273 [2 per cell]

Raw total energy, eV for the cell shown: -25.03
Total magnetization, μB/f.u.: 0.8

---

Here are the calculated ρ numbers, same order: 9.19; 7.37; 7.41; 7.73; 8.61; 8.83; 8.93; 11.12; 8.79; 9.90; 9.27; 8.23; 10.31; 7.32; 9.79; 9.75 (Mg/m³).
Here are the calculated formation enthalpy at 0 K numbers, same order: 0.107; 0.109; 0.154; 0.141; 0.157; 0.000; 0.009; 0.062; -0.553; -0.807; -0.461; -0.397; -0.366; -0.437; -0.113; -0.091 (eV per atom).